No. 1
# LaPrAu3 PBE optimized geometry
data_LaPrAu3
_chemical_formula_sum 'La4 Pr4 Au12'
_cell_length_a 3.8162
_cell_length_b 28.7039
_cell_length_c 4.7188
_cell_angle_alpha 90.00
_cell_angle_beta 90.00
_cell_angle_gamma 90.00
_symmetry_space_group_name_H-M 'C m c m'
_symmetry_Int_Tables_number 63
_symmetry_space_group_name_Hall '-C 2c 2'
loop_
_atom_site_label
_atom_site_fract_x
_atom_site_fract_y
_atom_site_fract_z
La1 0.0000 0.0720 0.2500
Pr1 0.0000 0.2047 0.7500
Au1 0.0000 0.3183 0.7500
Au2 0.0000 0.3795 0.2500
Au3 0.0000 0.4755 0.2500
# volume	25.845	A^3/atom


No. 2
# La2Pr2Au3 PBE optimized geometry
data_La2Pr2Au3
_chemical_formula_sum 'La8 Pr8 Au12'
_cell_length_a 9.3336
_cell_length_b 9.3336
_cell_length_c 9.3336
_cell_angle_alpha 90.00
_cell_angle_beta 90.00
_cell_angle_gamma 90.00
_symmetry_space_group_name_H-M 'I 21 3'
_symmetry_Int_Tables_number 199
_symmetry_space_group_name_Hall 'I 2b 2c 3'
loop_
_atom_site_label
_atom_site_fract_x
_atom_site_fract_y
_atom_site_fract_z
La1 0.0682 0.4318 0.5682
Pr1 0.1819 0.1819 0.1819
Au1 0.0000 0.2500 0.8786
# volume	29.040	A^3/atom


No. 3
# LaPr2Au2 PBE optimized geometry
data_LaPr2Au2
_chemical_formula_sum 'La2 Pr4 Au4'
_cell_length_a 8.9549
_cell_length_b 5.1727
_cell_length_c 6.7918
_cell_angle_alpha 90.00
_cell_angle_beta 116.00
_cell_angle_gamma 90.00
_symmetry_space_group_name_H-M 'C 1 2/m 1'
_symmetry_Int_Tables_number 12
_symmetry_space_group_name_Hall '-C 2y'
loop_
_atom_site_label
_atom_site_fract_x
_atom_site_fract_y
_atom_site_fract_z
La1 0.0000 0.0000 0.0000
Pr1 0.2178 0.0000 0.6530
Au1 0.0855 0.5000 0.7560
# volume	28.276	A^3/atom


No. 4
# La5PrAu6 PBE optimized geometry
data_La5PrAu6
_chemical_formula_sum 'La10 Pr2 Au12'
_cell_length_a 16.9350
_cell_length_b 7.4852
_cell_length_c 5.3690
_cell_angle_alpha 90.00
_cell_angle_beta 108.39
_cell_angle_gamma 90.00
_symmetry_space_group_name_H-M 'C 1 2/m 1'
_symmetry_Int_Tables_number 12
_symmetry_space_group_name_Hall '-C 2y'
loop_
_atom_site_label
_atom_site_fract_x
_atom_site_fract_y
_atom_site_fract_z
La1 0.0000 0.0000 0.0000
La2 0.1666 0.0000 0.6666
La3 0.1668 0.5000 0.6670
Pr1 0.0000 0.5000 0.0000
Au1 0.0000 0.2524 0.5000
Au2 0.1657 0.2512 0.1661
# volume	26.909	A^3/atom


No. 5
# La3PrAu7 PBE optimized geometry
data_La3PrAu7
_chemical_formula_sum 'La12 Pr4 Au28'
_cell_length_a 3.9394
_cell_length_b 22.7522
_cell_length_c 12.9377
_cell_angle_alpha 90.00
_cell_angle_beta 90.00
_cell_angle_gamma 90.00
_symmetry_space_group_name_H-M 'C m c m'
_symmetry_Int_Tables_number 63
_symmetry_space_group_name_Hall '-C 2c 2'
loop_
_atom_site_label
_atom_site_fract_x
_atom_site_fract_y
_atom_site_fract_z
La1 0.0000 0.1410 0.0600
La2 0.0000 0.1913 0.7500
Pr1 0.0000 0.0067 0.7500
Au1 0.0000 0.2785 0.0660
Au2 0.0000 0.3821 0.7500
Au3 0.0000 0.4012 0.1347
Au4 0.0000 0.4637 0.5796
# volume	26.355	A^3/atom


No. 6
# LaPr4Au4 PBE optimized geometry
data_LaPr4Au4
_chemical_formula_sum 'La2 Pr8 Au8'
_cell_length_a 9.4776
_cell_length_b 9.4776
_cell_length_c 6.2474
_cell_angle_alpha 90.00
_cell_angle_beta 90.00
_cell_angle_gamma 90.00
_symmetry_space_group_name_H-M 'P 42/n'
_symmetry_Int_Tables_number 86
loop_
_symmetry_equiv_pos_as_xyz
'x,y,z'
'-x,-y,-z'
'-y,x+1/2,z+1/2'
'y,-x+1/2,-z+1/2'
'-x+1/2,-y+1/2,z'
'x+1/2,y+1/2,-z'
'y+1/2,-x,z+1/2'
'-y+1/2,x,-z+1/2'
loop_
_atom_site_label
_atom_site_fract_x
_atom_site_fract_y
_atom_site_fract_z
La1 0.2500 0.2500 0.2500
Pr1 0.0622 0.6576 0.1607
Au1 0.0339 0.6297 0.6506
# volume	31.177	A^3/atom


No. 7
# LaPrAu2 PBE optimized geometry
data_LaPrAu2
_chemical_formula_sum 'La1 Pr1 Au2'
_cell_length_a 3.7582
_cell_length_b 3.7582
_cell_length_c 7.5363
_cell_angle_alpha 90.00
_cell_angle_beta 90.00
_cell_angle_gamma 90.00
_symmetry_space_group_name_H-M 'P 4/m m m'
_symmetry_Int_Tables_number 123
_symmetry_space_group_name_Hall '-P 4 2'
loop_
_atom_site_label
_atom_site_fract_x
_atom_site_fract_y
_atom_site_fract_z
La1 0.0000 0.0000 0.0000
Pr1 0.0000 0.0000 0.5000
Au1 0.5000 0.5000 0.2541
# volume	26.611	A^3/atom


No. 8
# La3Pr3Au4 PBE optimized geometry
data_La3Pr3Au4
_chemical_formula_sum 'La6 Pr6 Au8'
_cell_length_a 3.9769
_cell_length_b 12.1011
_cell_length_c 12.0596
_cell_angle_alpha 90.00
_cell_angle_beta 90.00
_cell_angle_gamma 90.00
_symmetry_space_group_name_H-M 'A m m 2'
_symmetry_Int_Tables_number 38
_symmetry_space_group_name_Hall 'A 2 -2'
loop_
_atom_site_label
_atom_site_fract_x
_atom_site_fract_y
_atom_site_fract_z
La1 0.0000 0.0000 0.0000
La2 0.0000 0.1650 0.6617
Pr1 0.0000 0.0000 0.3297
Pr2 0.5000 0.2496 0.4117
Au1 0.5000 0.0000 0.5340
Au2 0.5000 0.0000 0.7918
Au3 0.5000 0.1284 0.1642
# volume	29.018	A^3/atom


No. 9
# LaPrAu PBE optimized geometry
data_LaPrAu
_chemical_formula_sum 'La3 Pr3 Au3'
_cell_length_a 8.0306
_cell_length_b 8.0306
_cell_length_c 4.9342
_cell_angle_alpha 90.00
_cell_angle_beta 90.00
_cell_angle_gamma 120.00
_symmetry_space_group_name_H-M 'P -6 2 m'
_symmetry_Int_Tables_number 189
_symmetry_space_group_name_Hall 'P -6 -2'
loop_
_atom_site_label
_atom_site_fract_x
_atom_site_fract_y
_atom_site_fract_z
La1 0.0000 0.3959 0.0000
Pr1 0.0000 0.7316 0.5000
Au1 0.0000 0.0000 0.0000
Au2 0.3333 0.6667 0.5000
# volume	30.620	A^3/atom


No. 10
# La4Pr3Au PBE optimized geometry
data_La4Pr3Au
_chemical_formula_sum 'La4 Pr3 Au1'
_cell_length_a 3.7830
_cell_length_b 3.7830
_cell_length_c 19.1850
_cell_angle_alpha 90.00
_cell_angle_beta 90.00
_cell_angle_gamma 90.00
_symmetry_space_group_name_H-M 'P 4/m m m'
_symmetry_Int_Tables_number 123
_symmetry_space_group_name_Hall '-P 4 2'
loop_
_atom_site_label
_atom_site_fract_x
_atom_site_fract_y
_atom_site_fract_z
La1 0.0000 0.0000 0.0960
La2 0.0000 0.0000 0.3651
Pr1 0.5000 0.5000 0.2332
Pr2 0.5000 0.5000 0.5000
Au1 0.5000 0.5000 0.0000
# volume	34.321	A^3/atom


No. 11
# La3PrAu3 PBE optimized geometry
data_La3PrAu3
_chemical_formula_sum 'La12 Pr4 Au12'
_cell_length_a 9.8519
_cell_length_b 11.2481
_cell_length_c 7.5736
_cell_angle_alpha 90.00
_cell_angle_beta 91.56
_cell_angle_gamma 90.00
_symmetry_space_group_name_H-M 'C 1 2/m 1'
_symmetry_Int_Tables_number 12
_symmetry_space_group_name_Hall '-C 2y'
loop_
_atom_site_label
_atom_site_fract_x
_atom_site_fract_y
_atom_site_fract_z
La1 0.0000 0.1781 0.0000
La2 0.0000 0.2526 0.5000
La3 0.1462 0.5000 0.8771
Pr1 0.2410 0.5000 0.3697
Au1 0.0658 0.0000 0.3105
Au2 0.2437 0.2482 0.2350
# volume	29.963	A^3/atom


No. 12
# LaPrRhAu PBE optimized geometry
data_LaPrRhAu
_chemical_formula_sum 'La4 Pr4 Rh4 Au4'
_cell_length_a 7.3513
_cell_length_b 7.3513
_cell_length_c 7.3513
_cell_angle_alpha 90.00
_cell_angle_beta 90.00
_cell_angle_gamma 90.00
_symmetry_space_group_name_H-M 'F -4 3 m'
_symmetry_Int_Tables_number 216
_symmetry_space_group_name_Hall 'F -4 2 3'
loop_
_atom_site_label
_atom_site_fract_x
_atom_site_fract_y
_atom_site_fract_z
La1 0.0000 0.0000 0.0000
Pr1 0.0000 0.0000 0.5000
Rh1 0.2500 0.2500 0.2500
Au1 0.2500 0.2500 0.7500
# volume	24.829	A^3/atom


No. 13
# LaPrRhAu PBE optimized geometry
data_LaPrRhAu
_chemical_formula_sum 'La2 Pr2 Rh2 Au2'
_cell_length_a 4.5370
_cell_length_b 4.0517
_cell_length_c 11.1490
_cell_angle_alpha 90.00
_cell_angle_beta 90.00
_cell_angle_gamma 90.00
_symmetry_space_group_name_H-M 'A m m 2'
_symmetry_Int_Tables_number 38
_symmetry_space_group_name_Hall 'A 2 -2'
loop_
_atom_site_label
_atom_site_fract_x
_atom_site_fract_y
_atom_site_fract_z
La1 0.0000 0.0000 0.0000
Pr1 0.5000 0.0000 0.2778
Rh1 0.5000 0.0000 0.5393
Au1 0.0000 0.0000 0.7170
# volume	25.619	A^3/atom


No. 14
# La2Pr2RhAu2 PBE optimized geometry
data_La2Pr2RhAu2
_chemical_formula_sum 'La2 Pr2 Rh1 Au2'
_cell_length_a 4.1354
_cell_length_b 7.5255
_cell_length_c 7.7078
_cell_angle_alpha 112.91
_cell_angle_beta 105.48
_cell_angle_gamma 90.02
_symmetry_space_group_name_H-M 'P -1'
_symmetry_Int_Tables_number 2
_symmetry_space_group_name_Hall '-P 1'
loop_
_atom_site_label
_atom_site_fract_x
_atom_site_fract_y
_atom_site_fract_z
La1 0.2059 0.2356 0.4114
Pr1 0.4741 0.2405 0.9477
Rh1 0.0000 0.0000 0.0000
Au1 0.1241 0.5647 0.2480
# volume	30.208	A^3/atom


No. 15
# LaPr2RuAu PBE optimized geometry
data_LaPr2RuAu
_chemical_formula_sum 'La1 Pr2 Ru1 Au1'
_cell_length_a 5.4771
_cell_length_b 5.4771
_cell_length_c 5.5752
_cell_angle_alpha 90.00
_cell_angle_beta 90.00
_cell_angle_gamma 90.00
_symmetry_space_group_name_H-M 'P 4 m m'
_symmetry_Int_Tables_number 99
_symmetry_space_group_name_Hall 'P 4 -2'
loop_
_atom_site_label
_atom_site_fract_x
_atom_site_fract_y
_atom_site_fract_z
La1 0.0000 0.0000 0.0000
Pr1 0.0000 0.5000 0.4678
Ru1 0.0000 0.0000 0.5496
Au1 0.5000 0.5000 0.1691
# volume	33.449	A^3/atom


No. 16
# LaPrSbAu PBE optimized geometry
data_LaPrSbAu
_chemical_formula_sum 'La4 Pr4 Sb4 Au4'
_cell_length_a 7.6966
_cell_length_b 7.6966
_cell_length_c 7.6966
_cell_angle_alpha 90.00
_cell_angle_beta 90.00
_cell_angle_gamma 90.00
_symmetry_space_group_name_H-M 'F -4 3 m'
_symmetry_Int_Tables_number 216
_symmetry_space_group_name_Hall 'F -4 2 3'
loop_
_atom_site_label
_atom_site_fract_x
_atom_site_fract_y
_atom_site_fract_z
La1 0.0000 0.0000 0.0000
Pr1 0.0000 0.0000 0.5000
Sb1 0.2500 0.2500 0.7500
Au1 0.2500 0.2500 0.2500
# uncorrected formation energy	-0.85	eV/atom
# volume	28.496	A^3/atom


No. 17
# LaPrSiAu PBE optimized geometry
data_LaPrSiAu
_chemical_formula_sum 'La4 Pr4 Si4 Au4'
_cell_length_a 7.4801
_cell_length_b 7.4801
_cell_length_c 7.4801
_cell_angle_alpha 90.00
_cell_angle_beta 90.00
_cell_angle_gamma 90.00
_symmetry_space_group_name_H-M 'F -4 3 m'
_symmetry_Int_Tables_number 216
_symmetry_space_group_name_Hall 'F -4 2 3'
loop_
_atom_site_label
_atom_site_fract_x
_atom_site_fract_y
_atom_site_fract_z
La1 0.0000 0.0000 0.0000
Pr1 0.0000 0.0000 0.5000
Si1 0.2500 0.2500 0.2500
Au1 0.2500 0.2500 0.7500
# uncorrected formation energy	-0.62	eV/atom
# volume	26.158	A^3/atom


No. 18
# LaPrSnAu PBE optimized geometry
data_LaPrSnAu
_chemical_formula_sum 'La4 Pr4 Sn4 Au4'
_cell_length_a 7.7236
_cell_length_b 7.7236
_cell_length_c 7.7236
_cell_angle_alpha 90.00
_cell_angle_beta 90.00
_cell_angle_gamma 90.00
_symmetry_space_group_name_H-M 'F -4 3 m'
_symmetry_Int_Tables_number 216
_symmetry_space_group_name_Hall 'F -4 2 3'
loop_
_atom_site_label
_atom_site_fract_x
_atom_site_fract_y
_atom_site_fract_z
La1 0.0000 0.0000 0.0000
Pr1 0.0000 0.0000 0.5000
Sn1 0.2500 0.2500 0.7500
Au1 0.2500 0.2500 0.2500
# volume	28.796	A^3/atom


No. 19
# LaPrTe2Au PBE optimized geometry
data_LaPrTe2Au
_chemical_formula_sum 'La2 Pr2 Te4 Au2'
_cell_length_a 4.4984
_cell_length_b 4.4984
_cell_length_c 15.3214
_cell_angle_alpha 90.00
_cell_angle_beta 90.00
_cell_angle_gamma 90.00
_symmetry_space_group_name_H-M 'P 4/n m m'
_symmetry_Int_Tables_number 129
loop_
_symmetry_equiv_pos_as_xyz
'x,y,z'
'-x,-y,-z'
'-y+1/2,x,z'
'y+1/2,-x,-z'
'-x+1/2,-y+1/2,z'
'x+1/2,y+1/2,-z'
'y,-x+1/2,z'
'-y,x+1/2,-z'
'x+1/2,-y,-z'
'-x+1/2,y,z'
'-y,-x,-z'
'y,x,z'
'-x,y+1/2,-z'
'x,-y+1/2,z'
'y+1/2,x+1/2,-z'
'-y+1/2,-x+1/2,z'
loop_
_atom_site_label
_atom_site_fract_x
_atom_site_fract_y
_atom_site_fract_z
La1 0.2500 0.2500 0.0939
Pr1 0.2500 0.2500 0.6436
Te1 0.2500 0.2500 0.3053
Te2 0.2500 0.2500 0.8775
Au1 0.2500 0.7500 0.5000
# uncorrected formation energy	-1.27	eV/atom
# volume	31.003	A^3/atom


No. 20
# LaPrTeAu PBE optimized geometry
data_LaPrTeAu
_chemical_formula_sum 'La3 Pr3 Te3 Au3'
_cell_length_a 4.3664
_cell_length_b 4.3664
_cell_length_c 23.2203
_cell_angle_alpha 90.00
_cell_angle_beta 90.00
_cell_angle_gamma 120.00
_symmetry_space_group_name_H-M 'R 3 m'
_symmetry_Int_Tables_number 160
_symmetry_space_group_name_Hall 'R 3 -2"'
loop_
_atom_site_label
_atom_site_fract_x
_atom_site_fract_y
_atom_site_fract_z
La1 0.0000 0.0000 0.0000
Pr1 0.0000 0.0000 0.5102
Te1 0.0000 0.0000 0.7560
Au1 0.0000 0.0000 0.2545
# uncorrected formation energy	-1.10	eV/atom
# volume	31.950	A^3/atom


No. 21
# LaPrZnAu PBE optimized geometry
data_LaPrZnAu
_chemical_formula_sum 'La4 Pr4 Zn4 Au4'
_cell_length_a 7.5206
_cell_length_b 7.5206
_cell_length_c 7.5206
_cell_angle_alpha 90.00
_cell_angle_beta 90.00
_cell_angle_gamma 90.00
_symmetry_space_group_name_H-M 'F -4 3 m'
_symmetry_Int_Tables_number 216
_symmetry_space_group_name_Hall 'F -4 2 3'
loop_
_atom_site_label
_atom_site_fract_x
_atom_site_fract_y
_atom_site_fract_z
La1 0.0000 0.0000 0.0000
Pr1 0.0000 0.0000 0.5000
Zn1 0.2500 0.2500 0.7500
Au1 0.2500 0.2500 0.2500
# volume	26.585	A^3/atom


No. 22
# LaPrZnAu PBE optimized geometry
data_LaPrZnAu
_chemical_formula_sum 'La1 Pr1 Zn1 Au1'
_cell_length_a 3.7887
_cell_length_b 3.7887
_cell_length_c 7.3506
_cell_angle_alpha 90.00
_cell_angle_beta 90.00
_cell_angle_gamma 90.00
_symmetry_space_group_name_H-M 'P 4 m m'
_symmetry_Int_Tables_number 99
_symmetry_space_group_name_Hall 'P 4 -2'
loop_
_atom_site_label
_atom_site_fract_x
_atom_site_fract_y
_atom_site_fract_z
La1 0.0000 0.0000 0.0000
Pr1 0.0000 0.0000 0.4961
Zn1 0.5000 0.5000 0.2547
Au1 0.5000 0.5000 0.7457
# volume	26.379	A^3/atom


No. 23
# La8Pt6Au PBE optimized geometry
data_La8Pt6Au
_chemical_formula_sum 'La8 Pt6 Au1'
_cell_length_a 10.1761
_cell_length_b 10.1761
_cell_length_c 4.5885
_cell_angle_alpha 90.00
_cell_angle_beta 90.00
_cell_angle_gamma 120.00
_symmetry_space_group_name_H-M 'P -3'
_symmetry_Int_Tables_number 147
_symmetry_space_group_name_Hall '-P 3'
loop_
_atom_site_label
_atom_site_fract_x
_atom_site_fract_y
_atom_site_fract_z
La1 0.0564 0.3116 0.2538
La2 0.3333 0.6667 0.7495
Pt1 0.0757 0.6105 0.2462
Au1 0.0000 0.0000 0.0000
# volume	27.433	A^3/atom


We obtain total DFT energy (no corrections) values of -4.71 -4.80 -4.75 -4.86 -4.60 -4.69 -4.83 -4.87 -4.83 -4.85 -4.80 -5.76 -5.85 -5.37 -5.62 -5.13 -5.23 -4.97 -5.13 -5.13 -4.08 -4.10 -6.22 eV/atom for the records listed above, in that order.